Li after structural relaxation, computed with GGA-PBEsol.

Fermi-level density of states   1.1 states/eV per cell
Symmetry   P6_3/mmc (194)
V   19.9 Å³/atom
ρ   0.58 g/cm3
Spin magnetization   0.0 μB per formula unit
Energy above the most stable polymorph in this dataset   0.4 meV per atom
ΔE_f   0.00 eV per atom

abc: 3.062 3.062 4.911
angles: 90.00 90.00 120.00
Fractional coordinates of all 2 atoms:
1 Li 0.333 0.667 0.250
2 Li 0.667 0.333 0.750